(1)
Ni2Sb8Rh | PBE | optimized geometry

Output
space-group type	C2/m, No. 12

Cell: 7.5327 7.5327 5.2378 Å, 90.71 90.71 70.32°
Last column: nearest neighbours and their distance in Å.
Atoms (fractional coordinates):
Ni (0.1245, 0.1245, 0.2633)  6 Sb 2.50-2.73
Ni (0.8755, 0.8755, 0.7366)  6 Sb 2.50-2.73
Sb (0.0880, 0.0880, 0.7474)  3 Ni 2.58-2.73
Sb (0.1996, 0.6270, 0.7981)  1 Ni 2.55, 1 Rh 2.66
Sb (0.3245, 0.3245, 0.1936)  1 Ni 2.50, 1 Rh 2.67
Sb (0.3730, 0.8004, 0.2019)  1 Ni 2.55, 1 Rh 2.66
Sb (0.6270, 0.1996, 0.7981)  1 Ni 2.55, 1 Rh 2.66
Sb (0.6755, 0.6755, 0.8064)  1 Ni 2.50, 1 Rh 2.67
Sb (0.8004, 0.3730, 0.2019)  1 Ni 2.55, 1 Rh 2.66
Sb (0.9120, 0.9120, 0.2526)  3 Ni 2.58-2.73
Rh (0.5000, 0.5000, 0.5000)  6 Sb 2.66-2.67

=====

(2)
NiSbRh2 | PBE | optimized geometry

Output
space-group type	I4/mmm, No. 139

Cell: 4.5920 4.5920 4.5920 Å, 127.45 127.45 77.52°
Last column: nearest neighbours and their distance in Å.
Atoms (fractional coordinates):
Ni (0.0000, 0.0000, 0.0000)  8 Rh 2.71, 4 Sb 2.87
Sb (0.5000, 0.5000, 0.0000)  8 Rh 2.71, 4 Ni 2.87
Rh (0.2500, 0.7500, 0.5000)  4 Sb 2.71, 4 Ni 2.71, 4 Rh 2.87
Rh (0.7500, 0.2500, 0.5000)  4 Sb 2.71, 4 Ni 2.71, 4 Rh 2.87

=====

(3)
NiSbRh2 | PBE | optimized geometry

Output
space-group type	Cm, No. 8

Cell: 4.8562 4.8562 4.4551 Å, 107.17 107.17 37.20°
Last column: nearest neighbours and their distance in Å.
Atoms (fractional coordinates):
Ni (0.0000, 0.0000, 0.0000)  7 Rh 2.62-2.77, 2 Sb 2.65
Sb (0.7312, 0.7312, 0.3153)  2 Ni 2.65, 7 Rh 2.68-2.76
Rh (0.2586, 0.2586, 0.8430)  3 Ni 2.62-2.68, 4 Sb 2.69-2.76, 1 Rh 2.90
Rh (0.4805, 0.4805, 0.5014)  4 Ni 2.67-2.77, 3 Sb 2.68, 3 Rh 2.90-2.97

=====

(4)
NiSb4Rh | PBE | optimized geometry

Output
distance to the lowest polymorph of the same formula	1227.5	meV per atom
space-group type	F-43m, No. 216

Cell: 5.9702 5.9702 5.9702 Å, 60.00 60.00 60.00°
Last column: nearest neighbours and their distance in Å.
Atoms (fractional coordinates):
Ni (0.0000, 0.0000, 0.0000)  12 Sb 3.50, 4 Rh 3.66
Sb (0.3748, 0.3748, 0.3748)  6 Sb 2.98-2.99
Sb (0.3748, 0.3748, 0.8757)  6 Sb 2.98-2.99
Sb (0.3748, 0.8757, 0.3748)  6 Sb 2.98-2.99
Sb (0.8757, 0.3748, 0.3748)  6 Sb 2.98-2.99
Rh (0.7500, 0.7500, 0.7500)  12 Sb 3.50, 4 Ni 3.66

=====

One value per record, in order, for D(E_F): 0.621 1.333 1.450 1.143 states/eV per atom.
One value per record, in order, for E_tot: -52.51 -25.62 -24.97 -23.81 eV for the cell shown.
One value per record, in order, for magnetization: 0.00 0.51 0.00 0.00 μB/cell.